Compound: FeNiMo
Source: the Alexandria database
Functional: GGA-PBE
Structure: optimized geometry

Structure (POSCAR):
```
FeNiMo
1.0
-1.760 -0.986 -1.704
2.494 -0.867 -0.028
-1.556 -4.617 4.280
Ni Mo Fe
1 1 1
direct
0.333 0.667 0.678
0.667 0.333 0.338
0.000 0.000 0.984
```

energy above the most stable polymorph in this dataset	0.180	eV per atom
energy of formation from the pure elements	0.208	eV per atom

***

Compound: Ca2InAuN
Source: the Alexandria database
Functional: GGA-PBE
Structure: optimized geometry

Structure (POSCAR):
```
Ca2InAuN
1.0
-3.848 -2.310 1.764
1.507 -4.089 -2.066
2.362 -1.043 3.788
N Au Ca In
1 1 2 1
direct
0.000 0.000 0.000
0.500 0.500 0.500
0.000 0.500 0.000
0.500 0.000 0.000
0.000 0.000 0.500
```

formation energy from raw total energies	-0.5403	eV/atom

***

Compound: K2LaCr
Source: the Alexandria database
Functional: GGA-PBE
Structure: optimized geometry

Structure (POSCAR):
```
K2LaCr
1.0
4.480 0.000 0.000
0.000 4.480 0.000
2.240 2.240 13.771
Cr K La
2 4 2
direct
0.500 0.500 0.000
0.250 0.750 0.500
0.612 0.125 0.250
0.138 0.625 0.250
0.875 0.862 0.750
0.375 0.388 0.750
0.750 0.250 0.500
0.000 0.000 0.000
```

energy above the most stable polymorph in this dataset	0.721	eV per atom
energy of formation from the pure elements	1.264	eV per atom

***

Compound: LiLaMg
Source: the Alexandria database
Functional: GGA-PBE
Structure: optimized geometry

Structure (POSCAR):
```
LiLaMg
1.0
5.556 -0.335 -2.553
-3.433 5.039 -0.567
-0.334 0.335 6.106
Li Mg La
2 2 2
direct
0.500 0.000 0.000
0.000 0.500 0.000
0.000 0.500 0.500
0.500 0.500 0.000
0.750 0.869 0.619
0.250 0.131 0.381
```

energy above the most stable polymorph in this dataset	0.014	eV per atom
energy of formation from the pure elements	-0.016	eV per atom